a:
Density functional theory data (PBE-GGA) for K2PdCl4 after structural relaxation.

Output
SG   C2/m, No. 12

Lattice parameters (Å, degrees): 6.543 6.543 5.237 93.53 93.53 64.57
Fractional coordinates of all 7 atoms:
K 0.644 0.644 0.745
Cl 0.125 0.654 0.772
Pd 0.000 0.000 0.000
Cl 0.875 0.346 0.228
K 0.356 0.356 0.255
Cl 0.654 0.125 0.772
Cl 0.346 0.875 0.228


b:
Density functional theory data (PBE-GGA) for K2PdCl4 after structural relaxation.

Output
SG   Pmm2, No. 25

Lattice parameters (Å, degrees): 4.118 7.103 7.096 90.00 90.00 90.00
Fractional coordinates of all 7 atoms:
Cl 0.000 0.232 0.232
Cl 0.000 0.768 0.232
K 0.500 0.000 0.500
K 0.500 0.500 0.003
Cl 0.000 0.233 0.767
Pd 0.000 0.000 0.999
Cl 0.000 0.767 0.767


Most stable: b


a:
Density functional theory data (PBE-GGA) for KTl2PdCl6 after structural relaxation.

Output
SG   I4/m, No. 87

Lattice parameters (Å, degrees): 7.602 7.602 7.602 122.51 122.51 85.71
Fractional coordinates of all 10 atoms:
Cl 0.224 0.224 0.000
Cl 0.294 0.138 0.432
Cl 0.776 0.776 0.000
Tl 0.250 0.750 0.500
Cl 0.706 0.862 0.568
Cl 0.138 0.706 0.844
Tl 0.750 0.250 0.500
Pd 0.000 0.000 0.000
K 0.500 0.500 0.000
Cl 0.862 0.294 0.156


b:
Density functional theory data (PBE-GGA) for KTl2PdCl6 after structural relaxation.

Output
SG   Fm-3m, No. 225

Lattice parameters (Å, degrees): 7.499 7.499 7.499 60.00 60.00 60.00
Fractional coordinates of all 10 atoms:
Cl 0.727 0.273 0.273
Cl 0.727 0.727 0.273
Cl 0.273 0.273 0.727
Cl 0.273 0.727 0.727
Pd 0.500 0.500 0.500
Cl 0.273 0.727 0.273
Cl 0.727 0.273 0.727
K 0.000 0.000 0.000
Tl 0.750 0.750 0.750
Tl 0.250 0.250 0.250


Most stable: a


a:
Density functional theory data (PBE-GGA) for KSm2Cl5 after structural relaxation.

Output
SG   P2_1/c, No. 14

Lattice parameters (Å, degrees): 8.600 7.091 13.238 90.00 90.29 90.00
Fractional coordinates of all 32 atoms:
Cl 0.025 0.807 0.633
Cl 0.525 0.175 0.425
Sm 0.991 0.101 0.160
Cl 0.792 0.950 0.999
Sm 0.794 0.531 0.000
K 0.497 0.057 0.165
Cl 0.208 0.450 0.501
Cl 0.250 0.854 0.312
Cl 0.975 0.307 0.867
K 0.503 0.557 0.335
K 0.503 0.943 0.835
Cl 0.238 0.342 0.208
Sm 0.794 0.969 0.500
Sm 0.009 0.899 0.840
Sm 0.009 0.601 0.340
Cl 0.250 0.646 0.812
K 0.497 0.443 0.665
Cl 0.750 0.354 0.188
Cl 0.762 0.658 0.792
Cl 0.525 0.325 0.925
Sm 0.991 0.399 0.660
Cl 0.475 0.825 0.575
Cl 0.025 0.693 0.133
Cl 0.792 0.550 0.499
Cl 0.762 0.842 0.292
Sm 0.206 0.031 0.500
Cl 0.238 0.158 0.708
Cl 0.475 0.675 0.075
Cl 0.750 0.146 0.688
Sm 0.206 0.469 0.000
Cl 0.975 0.193 0.367
Cl 0.208 0.050 0.001


b:
Density functional theory data (PBE-GGA) for KSm2Cl5 after structural relaxation.

Output
SG   I4/mcm, No. 140

Lattice parameters (Å, degrees): 8.923 8.923 8.923 129.49 129.49 74.22
Fractional coordinates of all 16 atoms:
Cl 0.282 0.482 0.500
Cl 0.482 0.982 0.200
Sm 0.351 0.149 0.500
Cl 0.000 0.000 0.000
Cl 0.018 0.218 0.500
K 0.750 0.750 0.000
Sm 0.851 0.351 0.202
Cl 0.782 0.282 0.800
Cl 0.982 0.782 0.500
Cl 0.500 0.500 0.000
K 0.250 0.250 0.000
Cl 0.718 0.518 0.500
Sm 0.149 0.649 0.798
Cl 0.518 0.018 0.800
Sm 0.649 0.851 0.500
Cl 0.218 0.718 0.200


Most stable: a